1.
Density functional theory data (PBE+U) for NaNpVO5 after structural relaxation.

Calculated values
- Final energy: -130.95 eV/cell
- Symmetry: C2/c (15)
- Total magnetic moment: 3.00 μB/f.u.

Cell lengths 5.9361, 5.9361, 7.8755 Å; angles 103.86, 103.86, 105.90 degrees
Last column: nearest neighbours and their distance in Å.
Fractional positions:
Na1 0.1698 0.8302 0.7500  3 O 2.38-2.58
Na2 0.8302 0.1698 0.2500  3 O 2.38-2.58
Np1 0.5000 0.5000 0.0000  6 O 2.11-2.16
Np2 0.5000 0.5000 0.5000  6 O 2.11-2.16
V1 0.1773 0.8227 0.2500  4 O 1.81-1.82
V2 0.8227 0.1773 0.7500  4 O 1.81-1.82
O1 0.1244 0.2402 0.9101  1 V 1.81
O2 0.1963 0.6101 0.3816  1 V 1.82
O3 0.2402 0.1244 0.4101  1 V 1.81
O4 0.3899 0.8037 0.1184  1 V 1.82
O5 0.4211 0.5789 0.7500  2 Np 2.11
O6 0.5789 0.4211 0.2500  2 Np 2.11
O7 0.6101 0.1963 0.8816  1 V 1.82
O8 0.7598 0.8756 0.5899  1 V 1.81
O9 0.8037 0.3899 0.6184  1 V 1.82
O10 0.8756 0.7598 0.0899  1 V 1.81

---

2.
Density functional theory data (PBE+U) for Na2NpVO6 after structural relaxation.

Calculated values
- Final energy: -75.67 eV/cell
- Symmetry: C2/m (12)
- Total magnetic moment: 2.00 μB/f.u.

Cell lengths 5.5775, 5.5775, 5.5998 Å; angles 119.51, 119.51, 61.25 degrees
Last column: nearest neighbours and their distance in Å.
Fractional positions:
Na1 0.2479 0.2479 0.2359  5 O 2.41-2.54
Na2 0.7521 0.7521 0.7641  5 O 2.41-2.54
Np1 0.5000 0.5000 0.0000  6 O 2.02-2.18
V1 0.0000 0.0000 0.5000  6 O 1.86-2.02
O1 0.2057 0.7067 0.2066  1 V 2.02, 1 Np 2.02
O2 0.2302 0.2302 0.6478  1 V 1.86
O3 0.2933 0.7943 0.7934  1 V 2.02, 1 Np 2.02
O4 0.7067 0.2057 0.2066  1 V 2.02, 1 Np 2.02
O5 0.7698 0.7698 0.3522  1 V 1.86
O6 0.7943 0.2933 0.7934  1 V 2.02, 1 Np 2.02

---

3.
Density functional theory data (PBE+U) for NaNpV2O8 after structural relaxation.

Calculated values
- Final energy: -94.34 eV/cell
- Symmetry: I-4m2 (119)
- Total magnetic moment: 2.00 μB/f.u.

Cell lengths 5.9791, 5.9791, 5.9791 Å; angles 106.16, 106.16, 116.33 degrees
Last column: nearest neighbours and their distance in Å.
Fractional positions:
Na1 0.0000 0.0000 0.0000  8 O 2.35-2.57
Np1 0.7500 0.2500 0.5000  8 O 2.24-2.34
V1 0.2500 0.7500 0.5000  4 O 1.74
V2 0.5000 0.5000 0.0000  4 O 1.75
O1 0.0615 0.3846 0.3231  1 V 1.74
O2 0.0615 0.7384 0.6769  1 V 1.74
O3 0.1413 0.3391 0.8022  1 V 1.75
O4 0.2616 0.9385 0.3231  1 V 1.74
O5 0.5369 0.3391 0.1978  1 V 1.75
O6 0.6154 0.9385 0.6769  1 V 1.74
O7 0.6609 0.4631 0.8022  1 V 1.75
O8 0.6609 0.8587 0.1978  1 V 1.75